1.
{
  "formula": "ThPb",
  "functional": "PBE",
  "state": "optimized geometry",
  "lattice": [[3.9355, 0.0000, 0.0000], [0.0000, 3.9355, 0.0000], [0.0000, 0.0000, 3.9355]],
  "species": ["Th", "Pb"],
  "fractional_positions": [[0.0000, 0.0000, 0.0000], [0.5000, 0.5000, 0.5000]],
  "space_group": "No. 221",
  "crystal_system": "cubic"
}


2.
{
  "formula": "Th5Pb",
  "functional": "PBE",
  "state": "optimized geometry",
  "lattice": [[2.4753, -7.8328, 0.0000], [2.4753, 7.8328, 0.0000], [0.0000, 0.0000, 4.8904]],
  "species": ["Th", "Th", "Th", "Th", "Th", "Pb"],
  "fractional_positions": [[0.0000, 0.0000, 0.0000], [0.1639, 0.8361, 0.5000], [0.3332, 0.6668, 0.0000], [0.6668, 0.3332, 0.0000], [0.8361, 0.1639, 0.5000], [0.5000, 0.5000, 0.5000]],
  "space_group": "No. 65",
  "crystal_system": "orthorhombic"
}


3.
{
  "formula": "Th3Pb",
  "functional": "PBE",
  "state": "optimized geometry",
  "lattice": [[0.0000, 3.9775, 3.9775], [3.9775, 0.0000, 3.9775], [3.9775, 3.9775, 0.0000]],
  "species": ["Th", "Th", "Th", "Pb"],
  "fractional_positions": [[0.0000, 0.0000, 0.0000], [0.2500, 0.2500, 0.2500], [0.7500, 0.7500, 0.7500], [0.5000, 0.5000, 0.5000]],
  "space_group": "No. 225",
  "crystal_system": "cubic"
}


4.
{
  "formula": "ThPb",
  "functional": "PBE",
  "state": "optimized geometry",
  "lattice": [[11.1420, 0.0000, 0.0000], [0.0000, 9.9652, 0.0000], [0.0000, 0.0000, 6.6329]],
  "species": ["Th", "Th", "Th", "Th", "Th", "Th", "Th", "Th", "Th", "Th", "Th", "Th", "Pb", "Pb", "Pb", "Pb", "Pb", "Pb", "Pb", "Pb", "Pb", "Pb", "Pb", "Pb"],
  "fractional_positions": [[0.1101, 0.0402, 0.2500], [0.1101, 0.4598, 0.7500], [0.3272, 0.6276, 0.2500], [0.3272, 0.8724, 0.7500], [0.3888, 0.2500, 0.0000], [0.3888, 0.2500, 0.5000], [0.6112, 0.7500, 0.0000], [0.6112, 0.7500, 0.5000], [0.6728, 0.1276, 0.2500], [0.6728, 0.3724, 0.7500], [0.8899, 0.5402, 0.2500], [0.8899, 0.9598, 0.7500], [0.0908, 0.7500, 0.0000], [0.0908, 0.7500, 0.5000], [0.1571, 0.1268, 0.7500], [0.1571, 0.3732, 0.2500], [0.4055, 0.5509, 0.7500], [0.4055, 0.9491, 0.2500], [0.5945, 0.0509, 0.7500], [0.5945, 0.4491, 0.2500], [0.8429, 0.6268, 0.7500], [0.8429, 0.8732, 0.2500], [0.9092, 0.2500, 0.0000], [0.9092, 0.2500, 0.5000]],
  "space_group": "No. 57",
  "crystal_system": "orthorhombic"
}


5.
{
  "formula": "Th3Pb",
  "functional": "PBE",
  "state": "optimized geometry",
  "lattice": [[4.9766, 0.0000, 0.0000], [0.0000, 4.9766, 0.0000], [0.0000, 0.0000, 4.9766]],
  "species": ["Th", "Th", "Th", "Pb"],
  "fractional_positions": [[0.0000, 0.0000, 0.5000], [0.0000, 0.5000, 0.0000], [0.5000, 0.0000, 0.0000], [0.5000, 0.5000, 0.5000]],
  "space_group": "No. 221",
  "crystal_system": "cubic"
}


6.
{
  "formula": "Th4Pb",
  "functional": "PBE",
  "state": "optimized geometry",
  "lattice": [[5.9149, 0.0000, 0.0000], [0.0000, 5.9149, 0.0000], [0.0000, 0.0000, 5.9149]],
  "species": ["Th", "Th", "Th", "Th", "Pb"],
  "fractional_positions": [[0.0000, 0.0000, 0.0000], [0.0000, 0.5000, 0.5000], [0.5000, 0.0000, 0.5000], [0.5000, 0.5000, 0.0000], [0.5000, 0.5000, 0.5000]],
  "space_group": "No. 221",
  "crystal_system": "cubic"
}


The following E_form values (in meV/atom) correspond, in order, to the records above: -175; -63; 42; -328; -161; 860.
The following N(E_F) values (in states/eV/cell) correspond, in order, to the records above: 3.5; 8.3; 7.7; 19.5; 6.0; 9.6.
The following DFT total energy values (in eV/cell) correspond, in order, to the records above: -11.479; -41.187; -25.802; -141.401; -26.612; -29.086.